[1]
4
Lattice="9.311 0.078 -0.075 8.571 3.637 -0.075 1.881 0.391 3.437" Properties=species:S:1:pos:R:3 comment="ZnSeBr2 | Alexandria | PBE | relaxed" e_form_raw_mev_per_atom=-172 final_energy_ev_per_cell=-8.79 magnetic_moment_mub_per_cell=0.0 spacegroup=C2/m pbc="T T T"
Br 11.465 2.381 1.142
Br 16.299 3.385 0.351
Se 14.823 3.079 2.465
Zn 4.941 1.026 0.822

***

[2]
8
Lattice="-2.240 2.957 -1.835 -6.299 -3.657 1.799 -2.257 2.437 6.682" Properties=species:S:1:pos:R:3 comment="Ho4HgTe2Se | Alexandria | PBE | relaxed" e_form_raw_mev_per_atom=-1182 final_energy_ev_per_cell=-37.84 magnetic_moment_mub_per_cell=0.0 spacegroup=P2/m pbc="T T T"
Te -2.257 2.437 6.682
Te -2.249 2.697 2.423
Se -4.270 -0.350 -0.018
Hg -4.278 -0.610 4.240
Ho -4.476 2.316 4.528
Ho -6.321 -0.579 2.116
Ho -4.510 2.544 0.271
Ho -6.287 -0.807 6.374

***

[3]
10
Lattice="-2.946 4.274 -4.607 0.455 -4.930 -4.864 -2.489 -0.939 0.720" Properties=species:S:1:pos:R:3 comment="Al2Cu2Os | Alexandria | PBE | relaxed" final_energy_ev_per_cell=-54.14 magnetic_moment_mub_per_cell=0.0 delta_e_f_mev_per_atom=-32 spacegroup=P4/mbm pbc="T T T"
Cu -1.775 2.057 -3.452
Cu -0.716 -2.714 -6.019
Cu -2.306 0.693 -7.070
Cu -0.185 -1.349 -2.401
Os -1.246 -0.328 -4.736
Os 0.000 0.000 0.000
Al -2.870 -1.618 -6.762
Al -2.109 0.022 -1.990
Al -1.462 -3.052 -3.765
Al -3.517 1.456 -4.986

***

[4]
19
Lattice="8.186 0.000 -2.894 -4.093 7.090 -2.894 0.000 0.000 8.683" Properties=species:S:1:pos:R:3 comment="Pr12Co6Au | Alexandria | PBE | relaxed" final_energy_ev_per_cell=-105.62 magnetic_moment_mub_per_cell=0.0 delta_e_f_mev_per_atom=-124 spacegroup=Im-3 pbc="T T T"
Pr -1.271 4.931 5.141
Pr 0.330 2.158 2.877
Pr 5.364 2.158 -2.247
Pr 0.813 5.724 2.247
Pr 0.458 3.523 -0.647
Pr -2.389 5.724 -0.017
Pr 6.483 1.365 2.912
Pr 3.635 3.566 3.542
Pr 3.763 4.931 0.017
Pr 3.280 1.365 0.647
Pr 2.059 6.297 -2.912
Pr 2.034 0.793 5.806
Co 2.961 3.545 -2.248
Co 0.457 6.298 -0.646
Co 5.683 2.753 0.646
Co -1.590 4.336 2.248
Co 3.636 0.791 3.541
Co 1.133 3.545 5.142
Au 0.000 0.000 0.000

***

[5]
18
Lattice="-0.435 8.083 1.159 -4.251 -1.205 6.807 8.673 0.375 0.645" Properties=species:S:1:pos:R:3 comment="Ho5Te2Pb2 | Alexandria | PBE | relaxed" e_form_raw_mev_per_atom=-814 final_energy_ev_per_cell=-87.83 magnetic_moment_mub_per_cell=0.0 spacegroup=Cmce pbc="T T T"
Ho 0.807 5.084 2.979
Ho 0.000 0.000 0.000
Ho 3.179 2.168 5.632
Ho 5.906 5.583 1.414
Ho -1.919 1.670 7.197
Ho 5.382 1.332 2.022
Ho 3.703 6.420 5.024
Ho 0.284 0.833 3.587
Ho -2.343 3.439 3.983
Ho -1.395 5.921 6.589
Pb -2.793 0.367 4.537
Pb -1.893 6.511 3.429
Pb -3.924 4.149 6.580
Pb -0.762 2.729 1.386
Te 3.699 3.905 3.001
Te 1.791 -0.739 5.825
Te 0.288 3.348 5.610
Te 2.631 -0.092 1.627

***

[6]
18
Lattice="9.832 2.259 1.602 6.820 7.434 1.602 6.820 3.970 6.487" Properties=species:S:1:pos:R:3 comment="Pm2Al3Cu12Pt | Alexandria | PBE | relaxed" final_energy_ev_per_cell=-75.38 magnetic_moment_mub_per_cell=0.0 delta_e_f_mev_per_atom=30 spacegroup=R-3m pbc="T T T"
Cu 10.979 5.012 5.016
Cu 10.979 6.391 3.072
Cu 12.493 7.272 6.619
Cu 17.845 8.464 8.041
Cu 5.627 5.199 1.650
Cu 5.627 3.275 4.361
Cu 13.691 6.591 4.675
Cu 16.173 11.337 8.041
Cu 17.845 10.387 5.330
Cu 9.781 7.072 5.016
Cu 7.299 2.326 1.650
Cu 12.493 8.650 4.675
Pt 0.000 0.000 0.000
Al 3.410 3.717 0.801
Al 4.916 1.129 0.801
Al 3.410 1.985 3.243
Pm 15.176 8.833 6.266
Pm 8.296 4.829 3.425

***

[7]
5
Lattice="-3.371 1.454 1.164 1.010 -0.596 3.669 2.406 5.404 0.215" Properties=species:S:1:pos:R:3 comment="ZnTeOsN2 | Alexandria | PBE | relaxed" e_form_raw_mev_per_atom=2092 final_energy_ev_per_cell=-21.84 magnetic_moment_mub_per_cell=1.7 spacegroup=P4/mmm pbc="T T T"
Os 0.022 3.131 2.524
Te 1.203 2.702 0.108
Zn 0.000 0.000 0.000
N -1.686 0.727 0.582
N 0.505 -0.298 1.834

***

[8]
4
Lattice="3.248 0.000 0.000 0.000 3.248 0.000 0.000 0.000 7.396" Properties=species:S:1:pos:R:3 comment="CdP3 | Alexandria | PBE | relaxed" final_energy_ev_per_cell=-15.15 magnetic_moment_mub_per_cell=0.0 delta_e_f_mev_per_atom=498 spacegroup=P4/mmm pbc="T T T"
P 0.000 0.000 3.698
P 1.624 1.624 4.820
P 1.624 1.624 2.575
Cd 0.000 0.000 0.000

***

[9]
4
Lattice="7.604 0.075 -0.012 6.861 3.280 -0.012 0.179 0.041 4.448" Properties=species:S:1:pos:R:3 comment="ZrReBr2 | Alexandria | PBE | relaxed" e_form_raw_mev_per_atom=-104 final_energy_ev_per_cell=-24.76 magnetic_moment_mub_per_cell=0.5 spacegroup=C2/m pbc="T T T"
Zr 3.661 0.849 1.106
Br 8.826 2.047 2.095
Br 12.960 3.006 0.094
Re 10.983 2.547 3.318

***

[10]
12
Lattice="-5.632 2.113 0.327 0.781 -4.873 7.788 2.854 7.887 -1.602" Properties=species:S:1:pos:R:3 comment="Tb8HoSc3 | Alexandria | PBE | relaxed" final_energy_ev_per_cell=-60.11 magnetic_moment_mub_per_cell=0.0 delta_e_f_mev_per_atom=42 spacegroup=P1 pbc="T T T"
Sc -2.317 0.249 4.636
Sc -2.493 2.959 2.480
Sc 0.303 4.903 1.833
Tb -2.277 6.198 3.658
Tb -2.699 5.656 0.295
Tb 0.705 -0.525 6.197
Tb 0.138 7.609 -0.315
Tb 0.298 -1.070 2.807
Tb -2.121 3.485 5.847
Tb -2.131 -2.440 6.818
Tb 0.106 1.658 0.617
Ho 0.479 2.193 3.972

***

[11]
12
Lattice="6.466 -0.331 3.352 2.428 6.744 1.259 0.330 -0.166 7.275" Properties=species:S:1:pos:R:3 comment="HoTh2As3 | Alexandria | PBE | relaxed" final_energy_ev_per_cell=-83.94 magnetic_moment_mub_per_cell=0.0 delta_e_f_mev_per_atom=-1434 spacegroup=C2/m pbc="T T T"
Ho 4.534 -0.331 7.078
Ho 2.262 -0.166 3.549
Th 4.447 3.206 2.306
Th 2.505 3.206 6.052
Th 6.720 3.041 5.834
Th 0.000 0.000 0.000
As 4.771 4.849 7.172
As 4.453 1.397 4.715
As 2.475 5.015 3.689
As 6.635 4.865 3.440
As 6.749 1.232 8.197
As 2.259 1.547 1.171

***

[12]
10
Lattice="6.886 0.000 0.000 0.000 6.886 0.000 3.443 3.443 4.861" Properties=species:S:1:pos:R:3 comment="Cs2ReAuF6 | Alexandria | PBE | relaxed" e_form_raw_mev_per_atom=-1946 final_energy_ev_per_cell=-48.12 magnetic_moment_mub_per_cell=4.0 spacegroup=I4/mmm pbc="T T T"
F 4.850 2.035 0.000
F 4.850 4.850 0.000
F 2.035 4.850 0.000
F 6.886 6.886 2.870
F 2.035 2.035 0.000
F 3.443 3.443 1.991
Re 3.443 3.443 0.000
Au 0.000 0.000 0.000
Cs 6.886 3.443 2.430
Cs 3.443 6.886 2.430

***

Number 1: mass density 4.407 g/cm3. Number 2: mass density 9.003 g/cm3. Number 3: mass density 9.289 g/cm3. Number 4: mass density 7.386 g/cm3. Number 5: mass density 9.710 g/cm3. Number 6: mass density 7.390 g/cm3. Number 7: mass density 7.776 g/cm3. Number 8: mass density 4.369 g/cm3. Number 9: mass density 6.681 g/cm3. Number 10: mass density 7.286 g/cm3. Number 11: mass density 8.987 g/cm3. Number 12: mass density 5.498 g/cm3.